[1]
First-principles (PBE-GGA) data for a geometry-optimized FeRu3 structure, as listed in the Alexandria database.

Computed properties:
Total energy = -35.70 eV per cell
Mass density = 11.09 g/cm³
Energy of formation from the pure elements = 57 kJ/mol of formula units

a = 4.6155 Å, b = 4.6155 Å, c = 2.6750 Å
α = 90.00°, β = 90.00°, γ = 109.43°
With the nearest neighbours (Å) after each atom.
Positions (direct):
Fe: 0.0000 0.0000 0.0000  10 Ru 2.67, 2 Fe 2.67
Ru: 0.0000 0.5000 0.5000  8 Ru 2.67, 4 Fe 2.67
Ru: 0.5000 0.5000 0.0000  2 Fe 2.67, 10 Ru 2.67
Ru: 0.5000 0.0000 0.5000  8 Ru 2.67, 4 Fe 2.67



[2]
First-principles (PBE-GGA) data for a geometry-optimized Pr2TaSbN5 structure, as listed in the Alexandria database.

Computed properties:
ΔE_f (raw) = -721 meV per atom
Total energy = -147.31 eV per cell
Mass density = 8.40 g/cm³

a = 3.3607 Å, b = 7.3466 Å, c = 10.7683 Å
α = 90.00°, β = 90.00°, γ = 103.22°
With the nearest neighbours (Å) after each atom.
Positions (direct):
Sb: 0.5113 0.0227 0.9711  4 N 2.00-2.10
N: 0.0664 0.1328 0.0487  2 Sb 2.04
Pr: 0.8750 0.7499 0.2192  5 N 2.44-2.63
Ta: 0.7708 0.5415 0.5052  5 N 1.98-2.21
N: 0.6327 0.2653 0.5076  1 Ta 1.98, 1 Sb 2.10
N: 0.9336 0.8672 0.5487  2 Sb 2.04
N: 0.2830 0.5660 0.6346  2 Ta 2.19, 1 Pr 2.44
N: 0.7024 0.4048 0.8766  2 Ta 2.21
Pr: 0.8602 0.7205 0.7752  6 N 2.51-2.66
N: 0.3673 0.7347 0.0076  1 Ta 1.98, 1 Sb 2.10
N: 0.2976 0.5952 0.3766  2 Ta 2.21
N: 0.5019 0.0037 0.2858  1 Sb 2.00
Ta: 0.2292 0.4585 0.0052  5 N 1.98-2.21
N: 0.4981 0.9963 0.7858  1 Sb 2.00
Sb: 0.4887 0.9773 0.4711  4 N 2.00-2.10
N: 0.7170 0.4340 0.1346  2 Ta 2.19, 1 Pr 2.44
Pr: 0.1398 0.2795 0.2752  6 N 2.51-2.66
Pr: 0.1250 0.2501 0.7192  5 N 2.44-2.63



[3]
First-principles (PBE-GGA) data for a geometry-optimized BaFe2Mo structure, as listed in the Alexandria database.

Computed properties:
Relative energy among the computed polymorphs = 63 meV per atom
Total energy = -27.31 eV per cell
Mass density = 7.21 g/cm³
Energy of formation from the pure elements = 229 kJ/mol of formula units

a = 3.2353 Å, b = 3.2353 Å, c = 7.5851 Å
α = 90.00°, β = 90.00°, γ = 90.00°
With the nearest neighbours (Å) after each atom.
Positions (direct):
Mo: 0.5000 0.5000 0.2500  8 Fe 2.57
Ba: 0.5000 0.5000 0.7500  4 Ba 3.24, 8 Fe 3.48
Fe: 0.0000 0.0000 0.0956  1 Fe 2.34, 4 Mo 2.57
Fe: 0.0000 0.0000 0.4044  1 Fe 2.34, 4 Mo 2.57



[4]
First-principles (PBE-GGA) data for a geometry-optimized Ce2Y6HoTm3 structure, as listed in the Alexandria database.

Computed properties:
Total energy = -67.98 eV per cell
Mass density = 6.56 g/cm³
Energy of formation from the pure elements = 64 kJ/mol of formula units

a = 6.1321 Å, b = 6.1321 Å, c = 11.7303 Å
α = 95.00°, β = 95.00°, γ = 119.98°
With the nearest neighbours (Å) after each atom.
Positions (direct):
Tm: 0.1661 0.8339 0.5000  6 Tm 3.53-3.55, 6 Y 3.53-3.54
Y: 0.7490 0.7490 0.2504  3 Tm 3.53, 6 Y 3.53-3.56, 2 Ce 3.54, 1 Ho 3.55
Tm: 0.8339 0.1661 0.5000  6 Tm 3.53-3.55, 6 Y 3.53-3.54
Y: 0.5812 0.9161 0.7496  3 Tm 3.53-3.54, 6 Y 3.53-3.56, 2 Ce 3.54, 1 Ho 3.55
Ce: 0.3333 0.6667 0.0000  6 Y 3.54, 3 Ho 3.54, 3 Ce 3.54
Y: 0.4188 0.0839 0.2504  3 Tm 3.53-3.54, 6 Y 3.53-3.56, 2 Ce 3.54, 1 Ho 3.55
Y: 0.2510 0.2510 0.7496  3 Tm 3.53, 6 Y 3.53-3.56, 2 Ce 3.54, 1 Ho 3.55
Y: 0.9161 0.5812 0.7496  3 Tm 3.53-3.54, 6 Y 3.53-3.56, 2 Ce 3.54, 1 Ho 3.55
Y: 0.0839 0.4188 0.2504  3 Tm 3.53-3.54, 6 Y 3.53-3.56, 2 Ce 3.54, 1 Ho 3.55
Ho: 0.0000 0.0000 0.0000  6 Ce 3.54, 6 Y 3.55
Tm: 0.5000 0.5000 0.5000  6 Y 3.53-3.54, 6 Tm 3.54-3.55
Ce: 0.6667 0.3333 0.0000  6 Y 3.54, 3 Ho 3.54, 3 Ce 3.54



[5]
First-principles (PBE-GGA) data for a geometry-optimized SrWBr structure, as listed in the Alexandria database.

Computed properties:
ΔE_f (raw) = 1322 meV per atom
Relative energy among the computed polymorphs = 529 meV per atom
Total energy = -12.34 eV per cell
Mass density = 5.22 g/cm³

a = 5.4084 Å, b = 5.4084 Å, c = 5.4084 Å
α = 60.00°, β = 60.00°, γ = 60.00°
With the nearest neighbours (Å) after each atom.
Positions (direct):
Sr: 0.5000 0.5000 0.5000  4 W 3.31
Br: 0.0000 0.0000 0.0000  4 W 3.31
W: 0.7500 0.7500 0.7500  4 Br 3.31, 4 Sr 3.31



[6]
First-principles (PBE-GGA) data for a geometry-optimized ZnReAg structure, as listed in the Alexandria database.

Computed properties:
Relative energy among the computed polymorphs = 0 meV per atom
Total energy = -32.79 eV per cell
Mass density = 12.67 g/cm³
Energy of formation from the pure elements = 17 kJ/mol of formula units

a = 3.0159 Å, b = 3.0159 Å, c = 10.3625 Å
α = 90.00°, β = 90.00°, γ = 90.00°
With the nearest neighbours (Å) after each atom.
Positions (direct):
Ag: 0.0000 0.5000 0.9027  4 Zn 2.74, 8 Ag 2.93-3.02
Zn: 0.5000 0.0000 0.7369  4 Re 2.74, 4 Ag 2.74, 4 Zn 3.02
Re: 0.5000 0.0000 0.4288  4 Re 2.59, 4 Zn 2.74
Zn: 0.0000 0.5000 0.2631  4 Re 2.74, 4 Ag 2.74, 4 Zn 3.02
Re: 0.0000 0.5000 0.5712  4 Re 2.59, 4 Zn 2.74
Ag: 0.5000 0.0000 0.0973  4 Zn 2.74, 8 Ag 2.93-3.02



[7]
First-principles (PBE-GGA) data for a geometry-optimized TmPd12Au6 structure, as listed in the Alexandria database.

Computed properties:
Total energy = -88.85 eV per cell
Mass density = 13.31 g/cm³
Energy of formation from the pure elements = -231 kJ/mol of formula units

a = 7.0794 Å, b = 7.0794 Å, c = 7.0794 Å
α = 101.95°, β = 101.95°, γ = 101.95°
With the nearest neighbours (Å) after each atom.
Positions (direct):
Au: 0.5708 0.8300 0.8301  7 Pd 2.75-2.92, 2 Au 2.85, 1 Tm 2.92
Pd: 0.4105 0.4103 0.8147  5 Pd 2.58-2.78, 1 Au 2.86
Pd: 0.7403 0.0001 0.2597  4 Au 2.75-2.92, 6 Pd 2.78-2.94, 1 Tm 2.86
Au: 0.1700 0.1699 0.4292  7 Pd 2.75-2.92, 2 Au 2.85, 1 Tm 2.92
Au: 0.4292 0.1700 0.1699  7 Pd 2.75-2.92, 2 Au 2.85, 1 Tm 2.92
Pd: 0.9999 0.7403 0.2597  4 Au 2.75-2.92, 6 Pd 2.78-2.94, 1 Tm 2.86
Pd: 0.5897 0.1853 0.5895  5 Pd 2.58-2.78, 1 Au 2.86
Au: 0.1699 0.4292 0.1700  7 Pd 2.75-2.92, 2 Au 2.85, 1 Tm 2.92
Au: 0.8301 0.5708 0.8300  7 Pd 2.75-2.92, 2 Au 2.85, 1 Tm 2.92
Pd: 0.2597 0.7403 0.0001  4 Au 2.75-2.92, 6 Pd 2.78-2.94, 1 Tm 2.86
Pd: 0.2597 0.9999 0.7403  4 Au 2.75-2.92, 6 Pd 2.78-2.94, 1 Tm 2.86
Pd: 0.4103 0.8147 0.4105  5 Pd 2.58-2.78, 1 Au 2.86
Tm: 0.0000 0.0000 0.0000  6 Pd 2.86, 6 Au 2.92
Pd: 0.8147 0.4105 0.4103  5 Pd 2.58-2.78, 1 Au 2.86
Pd: 0.0001 0.2597 0.7403  4 Au 2.75-2.92, 6 Pd 2.78-2.94, 1 Tm 2.86
Pd: 0.7403 0.2597 0.9999  4 Au 2.75-2.92, 6 Pd 2.78-2.94, 1 Tm 2.86
Pd: 0.5895 0.5897 0.1853  5 Pd 2.58-2.78, 1 Au 2.86
Au: 0.8300 0.8301 0.5708  7 Pd 2.75-2.92, 2 Au 2.85, 1 Tm 2.92
Pd: 0.1853 0.5895 0.5897  5 Pd 2.58-2.78, 1 Au 2.86



[8]
First-principles (PBE-GGA) data for a geometry-optimized YCu2AgF structure, as listed in the Alexandria database.

Computed properties:
ΔE_f (raw) = -242 meV per atom
Total energy = -20.59 eV per cell
Mass density = 4.81 g/cm³

a = 5.3128 Å, b = 4.1931 Å, c = 5.3128 Å
α = 90.00°, β = 90.00°, γ = 90.00°
With the nearest neighbours (Å) after each atom.
Positions (direct):
Cu: 0.5000 0.0000 0.0000  2 Y 2.66
F: 0.0000 0.5000 0.0000  2 Y 2.10
Y: 0.0000 0.0000 0.0000  2 F 2.10
Cu: 0.0000 0.0000 0.5000  2 Y 2.66
Ag: 0.5000 0.5000 0.5000  8 Cu 3.38, 4 F 3.76



[9]
First-principles (PBE-GGA) data for a geometry-optimized RbP2WCl structure, as listed in the Alexandria database.

Computed properties:
ΔE_f (raw) = -239 meV per atom
Relative energy among the computed polymorphs = 0 meV per atom
Total energy = -27.78 eV per cell
Mass density = 5.01 g/cm³

a = 4.6936 Å, b = 4.6936 Å, c = 5.5223 Å
α = 90.00°, β = 90.00°, γ = 90.00°
With the nearest neighbours (Å) after each atom.
Positions (direct):
Rb: 0.5000 0.5000 0.5000  4 Cl 3.32, 8 P 3.62
Cl: 0.0000 0.0000 0.5000  2 W 2.76
W: 0.0000 0.0000 0.0000  4 P 2.35
P: 0.5000 0.0000 0.0000  2 W 2.35
P: 0.0000 0.5000 0.0000  2 W 2.35



[10]
First-principles (PBE-GGA) data for a geometry-optimized BaHf3H structure, as listed in the Alexandria database.

Computed properties:
Relative energy among the computed polymorphs = 0 meV per atom
Total energy = -32.75 eV per cell
Mass density = 10.67 g/cm³

a = 4.7157 Å, b = 4.7157 Å, c = 4.7157 Å
α = 90.00°, β = 90.00°, γ = 90.00°
With the nearest neighbours (Å) after each atom.
Positions (direct):
H: 0.0000 0.0000 0.0000  6 Hf 2.36
Hf: 0.0000 0.0000 0.5000  2 H 2.36
Hf: 0.5000 0.0000 0.0000  2 H 2.36
Ba: 0.5000 0.5000 0.5000  12 Hf 3.33
Hf: 0.0000 0.5000 0.0000  2 H 2.36



[11]
First-principles (PBE-GGA) data for a geometry-optimized Ta8Ga2N structure, as listed in the Alexandria database.

Computed properties:
ΔE_f (raw) = -103 meV per atom
Total energy = -110.34 eV per cell
Mass density = 14.48 g/cm³

a = 4.5559 Å, b = 5.6018 Å, c = 8.0871 Å
α = 111.05°, β = 106.36°, γ = 90.00°
With the nearest neighbours (Å) after each atom.
Positions (direct):
Ta: 0.7852 0.6801 0.5703  4 Ga 2.72-2.98, 5 Ta 2.80-2.97
Ta: 0.0027 0.7571 0.0053  2 N 2.66, 1 Ga 2.71, 6 Ta 2.75-2.98
Ta: 0.2148 0.3199 0.4297  4 Ga 2.72-2.98, 5 Ta 2.80-2.97
N: 0.5000 0.0000 0.0000  2 Ta 1.97
Ta: 0.5906 0.4748 0.1812  1 N 2.50, 4 Ta 2.75-2.80
Ga: 0.8230 0.2431 0.6460  10 Ta 2.71-2.98
Ta: 0.4094 0.5252 0.8188  1 N 2.50, 4 Ta 2.75-2.80
Ta: 0.9973 0.2429 0.9947  2 N 2.66, 1 Ga 2.71, 6 Ta 2.75-2.98
Ga: 0.1770 0.7569 0.3540  10 Ta 2.71-2.98
Ta: 0.3723 0.9968 0.7447  1 N 1.97
Ta: 0.6277 0.0032 0.2553  1 N 1.97



[12]
First-principles (PBE-GGA) data for a geometry-optimized KAu5 structure, as listed in the Alexandria database.

Computed properties:
Relative energy among the computed polymorphs = 144 meV per atom
Total energy = -17.97 eV per cell
Mass density = 12.30 g/cm³
Energy of formation from the pure elements = -47 kJ/mol of formula units

a = 6.5827 Å, b = 6.5827 Å, c = 7.3052 Å
α = 78.57°, β = 78.57°, γ = 26.48°
With the nearest neighbours (Å) after each atom.
Positions (direct):
Au: 0.4159 0.4159 0.3271  9 Au 2.76-3.02
K: 0.6636 0.6636 0.0565  2 K 3.02, 1 Au 3.27
Au: 0.7324 0.7324 0.5477  8 Au 2.75-3.02
Au: 0.9226 0.9226 0.0087  6 Au 2.75-3.02
Au: 0.3728 0.3728 0.7228  9 Au 2.75-3.02
Au: 0.0593 0.0593 0.5038  8 Au 2.75-3.02